# 1
This record from Alexandria via LeMat-Bulk describes a geometry-optimized NaNdRhPb structure. The functional is PBE. Values from VASP.

Quantum ESPRESSO input file:
```
&SYSTEM
  ibrav = 0, nat = 4, ntyp = 4
/
ATOMIC_SPECIES
Pb 207.20 Pb.upf
Rh 102.91 Rh.upf
Nd 144.24 Nd.upf
Na 22.99 Na.upf
ATOMIC_POSITIONS crystal
Pb 0.500 0.500 0.500
Rh 0.250 0.250 0.250
Nd 0.000 0.000 0.000
Na 0.750 0.750 0.750
CELL_PARAMETERS angstrom
5.013 0.000 0.000
2.506 4.341 0.000
2.506 1.447 4.093
```

Computed properties:
E, eV per atom: -4.5782
Density of states at the Fermi level, states/eV/f.u.: 6.22
SG: F-43m, No. 216
Magnetization, μB per formula unit: 0.0
ΔE_f, meV/atom: -292

# 2
This record from Alexandria via LeMat-Bulk describes a geometry-optimized NaNd2Pb3S6 structure. The functional is PBE. Values from VASP.

Quantum ESPRESSO input file:
```
&SYSTEM
  ibrav = 0, nat = 12, ntyp = 4
/
ATOMIC_SPECIES
Na 22.99 Na.upf
Nd 144.24 Nd.upf
Pb 207.20 Pb.upf
S 32.06 S.upf
ATOMIC_POSITIONS crystal
Na 0.500 0.000 0.000
Nd 0.835 0.672 0.670
Nd 0.165 0.328 0.330
Pb 0.500 0.500 0.000
Pb 0.841 0.149 0.682
Pb 0.159 0.851 0.318
S 0.329 0.906 0.659
S 0.671 0.570 0.342
S 0.671 0.094 0.341
S 0.007 0.250 0.015
S 0.993 0.750 0.985
S 0.329 0.430 0.658
CELL_PARAMETERS angstrom
-1.472 -3.792 1.198
7.799 -2.825 0.643
-1.089 5.226 7.698
```

Computed properties:
E, eV per atom: -5.0382
E_form (uncorrected), eV per atom: -1.14
Density of states at the Fermi level, states/eV/f.u.: 3.27
SG: C2/m, No. 12
Magnetization, μB per formula unit: 0.0

# 3
This record from Alexandria via LeMat-Bulk describes a geometry-optimized NaNdSmPb structure. The functional is PBE. Values from VASP.

Quantum ESPRESSO input file:
```
&SYSTEM
  ibrav = 0, nat = 4, ntyp = 4
/
ATOMIC_SPECIES
Pb 207.20 Pb.upf
Na 22.99 Na.upf
Nd 144.24 Nd.upf
Sm 150.36 Sm.upf
ATOMIC_POSITIONS crystal
Pb 0.500 0.500 0.500
Na 0.000 0.000 0.000
Nd 0.250 0.250 0.250
Sm 0.750 0.750 0.750
CELL_PARAMETERS angstrom
-5.019 -1.798 -1.427
-1.009 -1.518 -5.210
-0.780 -5.326 -1.221
```

Computed properties:
E, eV per atom: -3.8424
Density of states at the Fermi level, states/eV/f.u.: 3.12
SG: F-43m, No. 216
Magnetization, μB per formula unit: 0.0
ΔE_f, meV/atom: -214

# 4
This record from Alexandria via LeMat-Bulk describes a geometry-optimized NaTbNdPb structure. The functional is PBE. Values from VASP.

Quantum ESPRESSO input file:
```
&SYSTEM
  ibrav = 0, nat = 4, ntyp = 4
/
ATOMIC_SPECIES
Pb 207.20 Pb.upf
Nd 144.24 Nd.upf
Tb 158.93 Tb.upf
Na 22.99 Na.upf
ATOMIC_POSITIONS crystal
Pb 0.500 0.500 0.500
Nd 0.750 0.750 0.750
Tb 0.250 0.250 0.250
Na 0.000 0.000 0.000
CELL_PARAMETERS angstrom
-5.335 -0.909 -0.891
-1.611 -4.562 -2.584
-2.610 -3.947 2.774
```

Computed properties:
E, eV per atom: -3.7912
Density of states at the Fermi level, states/eV/f.u.: 3.50
SG: F-43m, No. 216
Magnetization, μB per formula unit: 0.0
ΔE_f, meV/atom: -185